1.
DFT (PBE-GGA) results for CdInPd2N after structural relaxation.

Results
V: 16.9 Å³ per atom
Theoretical density: 8.93 g/cm3
Calculated total energy: -4.19 eV per atom

a = 4.3754 Å, b = 4.4126 Å, c = 4.3754 Å
α = 90.00°, β = 90.00°, γ = 90.00°
With the nearest neighbours (Å) after each atom.
Fractional coordinates of all 5 atoms:
N: 0.0000 0.0000 0.0000  4 Pd 2.19, 2 Cd 2.21
Cd: 0.0000 0.5000 0.0000  2 N 2.21
Pd: 0.0000 0.0000 0.5000  2 N 2.19
Pd: 0.5000 0.0000 0.0000  2 N 2.19
In: 0.5000 0.5000 0.5000  4 Cd 3.09, 8 Pd 3.11

=====

2.
DFT (PBE-GGA) results for LaTbAs after structural relaxation.

Results
Energy of formation from the pure elements: -0.86 eV per atom
V: 32.6 Å³ per atom
Theoretical density: 6.32 g/cm3

a = 6.7841 Å, b = 4.0825 Å, c = 4.0825 Å
α = 120.00°, β = 90.00°, γ = 90.00°
With the nearest neighbours (Å) after each atom.
Fractional coordinates of all 3 atoms:
As: 0.0102 0.0000 0.0000  3 Tb 2.86, 3 La 2.99
Tb: 0.2500 0.3333 0.6667  3 As 2.86
La: 0.7398 0.6667 0.3333  3 As 2.99

=====

3.
DFT (PBE-GGA) results for Nd8Dy3Y4 after structural relaxation.

Results
Energy of formation from the pure elements: 0.33 eV per atom
V: 34.4 Å³ per atom
Theoretical density: 6.42 g/cm3

a = 6.9410 Å, b = 9.2274 Å, c = 9.2274 Å
α = 82.88°, β = 110.81°, γ = 110.81°
With the nearest neighbours (Å) after each atom.
Fractional coordinates of all 15 atoms:
Nd: 0.2860 0.2458 0.2458  1 Y 3.02, 1 Dy 3.10
Nd: 0.0000 0.7044 0.2956  3 Y 3.50-3.61, 4 Nd 3.51-3.52, 2 Dy 3.60
Nd: 0.8211 0.2975 0.2975  4 Nd 3.43-3.62, 3 Y 3.47-3.63, 2 Dy 3.65
Nd: 0.5000 0.7521 0.2479  1 Y 3.03, 1 Dy 3.08
Nd: 0.5000 0.2479 0.7521  1 Y 3.03, 1 Dy 3.08
Nd: 0.1789 0.7025 0.7025  4 Nd 3.43-3.62, 3 Y 3.47-3.63, 2 Dy 3.65
Nd: 0.0000 0.2956 0.7044  3 Y 3.50-3.61, 4 Nd 3.51-3.52, 2 Dy 3.60
Nd: 0.7140 0.7542 0.7542  1 Y 3.02, 1 Dy 3.10
Dy: 0.5000 0.5000 0.0000  8 Nd 3.38-3.65, 2 Y 3.47
Dy: 0.5000 0.0000 0.5000  8 Nd 3.38-3.65, 2 Y 3.47
Dy: 0.5000 0.5000 0.5000  4 Nd 3.08-3.10
Y: 0.5000 0.0000 0.0000  2 Nd 3.03
Y: 0.0000 0.5000 0.0000  2 Dy 3.47, 8 Nd 3.47-3.66
Y: 0.0000 0.0000 0.0000  2 Nd 3.02
Y: 0.0000 0.0000 0.5000  2 Dy 3.47, 8 Nd 3.47-3.66